Entry 1:
# La3CuI2

A relaxed La3CuI2 crystal (PBE-GGA, Alexandria via LeMat-Bulk).

Output
Total magnetization in μB/f.u.: 0.00
DOS(E_F) in states/eV/cell: 11.3
V in Å³ per atom: 33.24
Formation energy (no corrections) in meV/atom: -728
Space-group type: C2/m (12)
Crystal system: monoclinic

abc: 7.677 8.230 7.673
angles: 81.03 59.98 71.85
Fractional positions:
I 0.500 0.500 0.000
I 0.844 0.500 0.312
I 0.156 0.500 0.688
I 0.000 0.000 0.000
La 0.431 0.790 0.639
La 0.930 0.210 0.639
La 0.706 0.798 0.000
La 0.294 0.202 0.000
La 0.569 0.210 0.361
La 0.070 0.790 0.361
Cu 0.669 0.000 0.663
Cu 0.331 0.000 0.337

Entry 2:
# ScTiGa3

A relaxed ScTiGa3 crystal (PBE-GGA, Alexandria via LeMat-Bulk).

Output
Total magnetization in μB/f.u.: 0.00
DOS(E_F) in states/eV/cell: 1.5
Offset from the most stable computed form in meV per atom: 356
V in Å³ per atom: 22.25
Space-group type: Pm-3m (221)
Crystal system: cubic

abc: 4.809 4.809 4.809
angles: 90.00 90.00 90.00
Fractional positions:
Ga 0.500 0.000 0.000
Ga 0.000 0.500 0.000
Ga 0.000 0.000 0.500
Sc 0.500 0.500 0.500
Ti 0.000 0.000 0.000

Entry 3:
# MnAg2Hg

A relaxed MnAg2Hg crystal (PBE-GGA, Alexandria via LeMat-Bulk).

Output
Total magnetization in μB/f.u.: 4.21
DOS(E_F) in states/eV/cell: 1.9
V in Å³ per atom: 18.85
Space-group type: R-3m (166)
Crystal system: trigonal

abc: 9.533 9.533 9.533
angles: 18.40 18.40 18.40
Each line ends with the local moment (μB).
Fractional positions:
Hg 0.250 0.250 0.250  0.00
Ag 0.494 0.494 0.494  0.03
Ag 0.006 0.006 0.006  0.03
Mn 0.750 0.750 0.750  3.93

| no. | DFT total energy (eV per cell) |
| --- | --- |
| 1 | -52.69 |
| 2 | -22.55 |
| 3 | -14.27 |